This record from the Alexandria database describes a geometry-optimized KCo2Sb structure. The functional is PBE.

Results
* space-group type: C2/m, No. 12
* formation energy without anion corrections: 0.463 eV/f.u.
* crystal system: monoclinic

Cell: 7.590 4.382 6.625 Å, 90.00 112.65 90.00°
Sites, in units of the cell vectors:
K: 0.000 0.000 0.000
K: 0.500 0.500 0.000
Co: 0.172 0.000 0.515
Co: 0.328 0.500 0.485
Co: 0.672 0.500 0.515
Co: 0.828 0.000 0.485
Sb: 0.000 0.500 0.500
Sb: 0.500 0.000 0.500